Below is a relaxed structure of Ac3Tl3VO8, with properties calculated at the PBE+U level.

The structure in CIF format:
```
data_Ac3Tl3VO8
_space_group_name_H-M_alt 'C 1 2/m 1'
_space_group_IT_number 12
_space_group_name_Hall '-C 2y'
_cell_length_a 12.711
_cell_length_b 7.396
_cell_length_c 7.792
_cell_angle_alpha 90.00
_cell_angle_beta 123.60
_cell_angle_gamma 90.00
loop_
_atom_site_label
_atom_site_fract_x
_atom_site_fract_y
_atom_site_fract_z
Ac1 0.000 0.000 0.000
Ac2 0.250 0.250 0.000
Tl1 0.000 0.500 0.500
Tl2 0.250 0.250 0.500
V1 0.000 0.500 0.000
O1 0.016 0.288 0.835
O2 0.188 0.500 0.160
O3 0.231 0.000 0.187
```

## Properties
For the theoretical density, the calculation gives 8.02 g cm⁻³. The value obtained for the total magnetic moment is 1.00 μB per formula unit. The value obtained for the uncorrected energy is -195.442 eV per cell.